DFT (PBE) results for ZnCo2Ir6 after structural relaxation.

The energy of formation from the pure elements comes out at 21 kJ/mol of atoms.

The structure belongs to space group C2/c (No. 15); the cell edges are 14.974, 7.106 and 4.881 Å and the angles 90.00°, 98.53° and 90.00°. The inequivalent atoms are Zn at (0.000, 0.185, 0.250), Co at (0.232, 0.439, 0.984), Ir at (0.078, 0.452, 0.644), Ir at (0.102, 0.114, 0.820) and Ir at (0.173, 0.231, 0.341).